Computed, not measured: ZnGa5Ir3 after structural relaxation at the GGA-PBE level of DFT.

Computed properties:
- formation enthalpy at 0 K (meV per atom) = -304
- final energy (eV/cell) = -182.93
- total magnetization (Bohr magnetons per cell) = 0.000
- crystal system = monoclinic

Cell lengths 8.934, 9.177, 8.683 Å; angles 90.00, 108.63, 90.00 degrees
Space group C2/m (No. 12)
One atom of each set of equivalent atoms:
Zn 0.244 0.000 0.249 [4 per cell]
Ga 0.000 0.265 0.000 [4 per cell]
Ga 0.007 0.268 0.669 [8 per cell]
Ga 0.239 0.000 0.569 [4 per cell]
Ga 0.246 0.000 0.925 [4 per cell]
Ir 0.000 0.000 0.000 [2 per cell]
Ir 0.000 0.500 0.500 [2 per cell]
Ir 0.009 0.500 0.169 [4 per cell]
Ir 0.010 0.000 0.672 [4 per cell]



Computed, not measured: Zr2ZnGa2Ir5 after structural relaxation at the GGA-PBE level of DFT.

Computed properties:
- formation enthalpy at 0 K (meV per atom) = -515
- final energy (eV/cell) = -147.76
- total magnetization (Bohr magnetons per cell) = 0.000
- crystal system = tetragonal

Cell lengths 9.462, 9.462, 3.607 Å; angles 90.00, 90.00, 90.00 degrees
Space group P4/mbm (No. 127)
One atom of each set of equivalent atoms:
Zr 0.172 0.328 0.000 [4 per cell]
Zn 0.000 0.000 0.000 [2 per cell]
Ga 0.128 0.628 0.000 [4 per cell]
Ir 0.000 0.500 0.500 [2 per cell]
Ir 0.061 0.797 0.500 [8 per cell]